No. 1
First-principles (PBE) data for TeMoP2 after structural relaxation, as listed in Alexandria via LeMat-Bulk.

Cell and atoms, written as POSCAR:
```
TeMoP2
1.0
-2.660 2.660 2.722
2.660 -2.660 2.722
2.660 2.660 -2.722
Te Mo P
1 1 2
Direct
0.000 0.000 0.000
0.500 0.500 0.000
0.000 0.500 0.500
0.500 0.000 0.500
```

Results
- Crystal system: tetragonal
- Symmetry: I4/mmm
- Raw formation energy: 1.98 eV per formula unit
- Magnetic moment: 2.0 μB/cell



No. 2
First-principles (PBE) data for TeMoP2 after structural relaxation, as listed in Alexandria via LeMat-Bulk.

Cell and atoms, written as POSCAR:
```
TeMoP2
1.0
4.153 -1.634 0.000
4.153 1.634 0.000
-0.646 0.000 5.455
Te Mo P
1 1 2
Direct
0.000 0.000 0.000
0.500 0.500 0.500
0.220 0.220 0.655
0.780 0.780 0.345
```

Results
- Crystal system: monoclinic
- Symmetry: C2/m
- Raw formation energy: 0.60 eV per formula unit
- Magnetic moment: 0.0 μB/cell



No. 3
First-principles (PBE) data for TeMoP2 after structural relaxation, as listed in Alexandria via LeMat-Bulk.

Cell and atoms, written as POSCAR:
```
TeMoP2
1.0
3.583 0.000 0.000
0.000 4.637 0.000
-0.782 0.000 4.589
Te Mo P
1 1 2
Direct
0.000 0.000 0.000
0.500 0.000 0.500
0.282 0.500 0.647
0.718 0.500 0.353
```

Results
- Crystal system: monoclinic
- Symmetry: P2/m
- Raw formation energy: 0.81 eV per formula unit
- Magnetic moment: 0.0 μB/cell



No. 4
First-principles (PBE) data for Te3MoP3 after structural relaxation, as listed in Alexandria via LeMat-Bulk.

Cell and atoms, written as POSCAR:
```
Te3MoP3
1.0
10.680 0.000 0.000
-5.340 9.249 0.000
0.000 0.000 4.895
Te Mo P
6 2 6
Direct
0.078 0.456 0.250
0.379 0.922 0.250
0.456 0.379 0.750
0.544 0.621 0.250
0.621 0.078 0.750
0.922 0.544 0.750
0.333 0.667 0.250
0.667 0.333 0.750
0.026 0.895 0.250
0.105 0.132 0.250
0.132 0.026 0.750
0.868 0.974 0.250
0.895 0.868 0.750
0.974 0.105 0.750
```

Results
- Crystal system: hexagonal
- Symmetry: P6_3/m
- Raw formation energy: 4.08 eV per formula unit
- Magnetic moment: 1.9 μB/cell



No. 5
First-principles (PBE) data for TeMo2P after structural relaxation, as listed in Alexandria via LeMat-Bulk.

Cell and atoms, written as POSCAR:
```
TeMo2P
1.0
4.490 0.000 0.000
0.000 4.490 0.000
0.000 0.000 3.205
Te Mo P
1 2 1
Direct
0.000 0.000 0.000
0.000 0.500 0.500
0.500 0.000 0.500
0.500 0.500 0.000
```

Results
- Crystal system: tetragonal
- Symmetry: P4/mmm
- Raw formation energy: 0.64 eV per formula unit
- Magnetic moment: 0.0 μB/cell



No. 6
First-principles (PBE) data for TeMo3P after structural relaxation, as listed in Alexandria via LeMat-Bulk.

Cell and atoms, written as POSCAR:
```
TeMo3P
1.0
4.894 0.000 0.000
0.000 4.894 0.000
0.000 0.000 4.894
Te Mo P
1 3 1
Direct
0.000 0.000 0.000
0.000 0.000 0.500
0.000 0.500 0.000
0.500 0.000 0.000
0.500 0.500 0.500
```

Results
- Crystal system: cubic
- Symmetry: Pm-3m
- Raw formation energy: 10.73 eV per formula unit
- Magnetic moment: 0.0 μB/cell



No. 7
First-principles (PBE) data for Te3Mo3P after structural relaxation, as listed in Alexandria via LeMat-Bulk.

Cell and atoms, written as POSCAR:
```
Te3Mo3P
1.0
9.620 0.000 0.000
-4.810 8.331 0.000
0.000 0.000 4.528
Te Mo P
6 6 2
Direct
0.070 0.376 0.250
0.306 0.930 0.250
0.376 0.306 0.750
0.624 0.694 0.250
0.694 0.070 0.750
0.930 0.624 0.750
0.024 0.172 0.750
0.149 0.976 0.750
0.172 0.149 0.250
0.828 0.851 0.750
0.851 0.024 0.250
0.976 0.828 0.250
0.333 0.667 0.250
0.667 0.333 0.750
```

Results
- Crystal system: hexagonal
- Symmetry: P6_3/m
- Raw formation energy: 0.75 eV per formula unit
- Magnetic moment: 0.0 μB/cell



No. 8
First-principles (PBE) data for ZnTeMo2P after structural relaxation, as listed in Alexandria via LeMat-Bulk.

Cell and atoms, written as POSCAR:
```
ZnTeMo2P
1.0
4.656 0.000 0.000
0.000 4.656 0.000
0.000 0.000 4.317
Zn Te Mo P
1 1 2 1
Direct
0.000 0.000 0.000
0.500 0.500 0.000
0.000 0.500 0.500
0.500 0.000 0.500
0.000 0.000 0.500
```

Results
- Crystal system: tetragonal
- Symmetry: P4/mmm
- Raw formation energy: 3.09 eV per formula unit
- Magnetic moment: 0.0 μB/cell



No. 9
First-principles (PBE) data for ThMoP after structural relaxation, as listed in Alexandria via LeMat-Bulk.

Cell and atoms, written as POSCAR:
```
ThMoP
1.0
2.841 -2.803 0.000
2.841 2.803 0.000
-0.561 0.000 8.463
Th Mo P
2 2 2
Direct
0.230 0.230 0.312
0.770 0.770 0.688
0.291 0.291 0.946
0.709 0.709 0.054
0.266 0.266 0.655
0.734 0.734 0.345
```

Results
- Crystal system: monoclinic
- Symmetry: C2/m
- Magnetic moment: 0.0 μB/cell
- Formation energy: -509 meV per atom



No. 10
First-principles (PBE) data for ThMo4P2 after structural relaxation, as listed in Alexandria via LeMat-Bulk.

Cell and atoms, written as POSCAR:
```
ThMo4P2
1.0
2.170 -6.580 0.000
2.170 6.580 0.000
0.000 0.000 4.266
Th Mo P
1 4 2
Direct
0.000 0.000 0.000
0.185 0.815 0.500
0.307 0.693 0.000
0.693 0.307 0.000
0.815 0.185 0.500
0.407 0.593 0.500
0.593 0.407 0.500
```

Results
- Crystal system: orthorhombic
- Symmetry: Cmmm
- Magnetic moment: 0.0 μB/cell
- Formation energy: -456 meV per atom



No. 11
First-principles (PBE) data for TiMoP3 after structural relaxation, as listed in Alexandria via LeMat-Bulk.

Cell and atoms, written as POSCAR:
```
TiMoP3
1.0
4.629 0.000 0.000
0.000 4.629 0.000
0.000 0.000 4.629
Ti Mo P
1 1 3
Direct
0.000 0.000 0.000
0.500 0.500 0.500
0.000 0.000 0.500
0.000 0.500 0.000
0.500 0.000 0.000
```

Results
- Crystal system: cubic
- Symmetry: Pm-3m
- Magnetic moment: 3.0 μB/cell
- Formation energy: 732 meV per atom



No. 12
First-principles (PBE) data for TiMoP2 after structural relaxation, as listed in Alexandria via LeMat-Bulk.

Cell and atoms, written as POSCAR:
```
TiMoP2
1.0
3.236 0.000 0.000
-1.618 2.802 0.000
0.000 0.000 6.539
Ti Mo P
1 1 2
Direct
0.000 0.000 0.000
0.000 0.000 0.500
0.333 0.667 0.749
0.667 0.333 0.251
```

Results
- Crystal system: trigonal
- Symmetry: P-3m1
- Magnetic moment: 0.0 μB/cell
- Formation energy: -860 meV per atom



No. 13
First-principles (PBE) data for TiMoP2 after structural relaxation, as listed in Alexandria via LeMat-Bulk.

Cell and atoms, written as POSCAR:
```
TiMoP2
1.0
1.767 1.020 5.670
-1.767 1.020 5.670
0.000 -2.041 5.670
Ti Mo P
1 1 2
Direct
0.000 0.000 0.000
0.500 0.500 0.500
0.250 0.250 0.250
0.750 0.750 0.750
```

Results
- Crystal system: trigonal
- Symmetry: R-3m
- Magnetic moment: 0.2 μB/cell
- Formation energy: -534 meV per atom



No. 14
First-principles (PBE) data for Ti2Mo2P after structural relaxation, as listed in Alexandria via LeMat-Bulk.

Cell and atoms, written as POSCAR:
```
Ti2Mo2P
1.0
-1.722 1.722 7.388
1.722 -1.722 7.388
1.722 1.722 -7.388
Ti Mo P
2 2 1
Direct
0.090 0.090 0.000
0.910 0.910 0.000
0.250 0.750 0.500
0.750 0.250 0.500
0.500 0.500 0.000
```

Results
- Crystal system: tetragonal
- Symmetry: I4/mmm
- Magnetic moment: 1.1 μB/cell
- Formation energy: 219 meV per atom



No. 15
First-principles (PBE) data for TiMoP2 after structural relaxation, as listed in Alexandria via LeMat-Bulk.

Cell and atoms, written as POSCAR:
```
TiMoP2
1.0
-2.697 2.697 5.653
2.697 -2.697 5.653
2.697 2.697 -5.653
Ti Mo P
2 2 4
Direct
0.000 0.000 0.000
0.750 0.250 0.500
0.250 0.750 0.500
0.500 0.500 0.000
0.138 0.625 0.013
0.375 0.388 0.513
0.612 0.125 0.987
0.875 0.862 0.487
```

Results
- Crystal system: tetragonal
- Symmetry: I-42d
- Magnetic moment: 1.0 μB/cell
- Formation energy: -101 meV per atom



No. 16
First-principles (PBE) data for TiMoP2 after structural relaxation, as listed in Alexandria via LeMat-Bulk.

Cell and atoms, written as POSCAR:
```
TiMoP2
1.0
0.000 3.033 3.033
3.033 0.000 3.033
3.033 3.033 0.000
Ti Mo P
1 1 2
Direct
0.000 0.000 0.000
0.500 0.500 0.500
0.250 0.250 0.250
0.750 0.750 0.750
```

Results
- Crystal system: cubic
- Symmetry: Fm-3m
- Magnetic moment: 0.0 μB/cell
- Formation energy: -599 meV per atom



No. 17
First-principles (PBE) data for TiMo2P after structural relaxation, as listed in Alexandria via LeMat-Bulk.

Cell and atoms, written as POSCAR:
```
TiMo2P
1.0
-1.852 1.852 9.380
1.852 -1.852 9.380
1.852 1.852 -9.380
Ti Mo P
2 4 2
Direct
0.000 0.000 0.000
0.750 0.250 0.500
0.142 0.625 0.017
0.375 0.392 0.517
0.608 0.125 0.983
0.875 0.858 0.483
0.250 0.750 0.500
0.500 0.500 0.000
```

Results
- Crystal system: tetragonal
- Symmetry: I-42d
- Magnetic moment: 0.0 μB/cell
- Formation energy: 80 meV per atom



No. 18
First-principles (PBE) data for TiMoP3 after structural relaxation, as listed in Alexandria via LeMat-Bulk.

Cell and atoms, written as POSCAR:
```
TiMoP3
1.0
4.651 0.000 0.000
0.000 4.651 0.000
0.000 0.000 4.651
Ti Mo P
1 1 3
Direct
0.000 0.000 0.000
0.500 0.500 0.500
0.000 0.500 0.500
0.500 0.000 0.500
0.500 0.500 0.000
```

Results
- Crystal system: cubic
- Symmetry: Pm-3m
- Magnetic moment: 0.2 μB/cell
- Formation energy: 611 meV per atom



No. 19
First-principles (PBE) data for TiMoP2 after structural relaxation, as listed in Alexandria via LeMat-Bulk.

Cell and atoms, written as POSCAR:
```
TiMoP2
1.0
1.670 0.964 6.255
-1.670 0.964 6.255
0.000 -1.928 6.255
Ti Mo P
1 1 2
Direct
0.000 0.000 0.000
0.832 0.832 0.832
0.417 0.417 0.417
0.582 0.582 0.582
```

Results
- Crystal system: trigonal
- Symmetry: R3m
- Magnetic moment: 0.0 μB/cell
- Formation energy: -740 meV per atom



No. 20
First-principles (PBE) data for Ti4Mo2P after structural relaxation, as listed in Alexandria via LeMat-Bulk.

Cell and atoms, written as POSCAR:
```
Ti4Mo2P
1.0
-2.254 2.254 6.288
2.254 -2.254 6.288
2.254 2.254 -6.288
Ti Mo P
4 2 1
Direct
0.000 0.500 0.500
0.191 0.191 0.000
0.500 0.000 0.500
0.809 0.809 0.000
0.379 0.379 0.000
0.621 0.621 0.000
0.000 0.000 0.000
```

Results
- Crystal system: tetragonal
- Symmetry: I4/mmm
- Magnetic moment: 0.0 μB/cell
- Formation energy: 368 meV per atom



No. 21
First-principles (PBE) data for Ti2MoP after structural relaxation, as listed in Alexandria via LeMat-Bulk.

Cell and atoms, written as POSCAR:
```
Ti2MoP
1.0
-3.642 3.642 2.446
3.642 -3.642 2.446
3.642 3.642 -2.446
Ti Mo P
4 2 2
Direct
0.080 0.625 0.955
0.375 0.330 0.455
0.670 0.125 0.045
0.875 0.920 0.545
0.250 0.750 0.500
0.500 0.500 0.000
0.000 0.000 0.000
0.750 0.250 0.500
```

Results
- Crystal system: tetragonal
- Symmetry: I-42d
- Magnetic moment: 0.0 μB/cell
- Formation energy: -54 meV per atom



No. 22
First-principles (PBE) data for Ti2Mo2P after structural relaxation, as listed in Alexandria via LeMat-Bulk.

Cell and atoms, written as POSCAR:
```
Ti2Mo2P
1.0
6.197 0.000 0.000
0.000 6.197 0.000
0.000 0.000 4.147
Ti Mo P
4 4 2
Direct
0.151 0.349 0.000
0.349 0.849 0.000
0.651 0.151 0.000
0.849 0.651 0.000
0.174 0.674 0.500
0.326 0.174 0.500
0.674 0.826 0.500
0.826 0.326 0.500
0.000 0.000 0.000
0.500 0.500 0.000
```

Results
- Crystal system: tetragonal
- Symmetry: P4/mbm
- Magnetic moment: 0.0 μB/cell
- Formation energy: 117 meV per atom



No. 23
First-principles (PBE) data for Tl2MoP after structural relaxation, as listed in Alexandria via LeMat-Bulk.

Cell and atoms, written as POSCAR:
```
Tl2MoP
1.0
1.809 -2.477 0.000
1.809 2.477 0.000
0.000 0.000 9.219
Tl Mo P
2 1 1
Direct
0.000 0.000 0.248
0.000 0.000 0.752
0.500 0.500 0.000
0.500 0.500 0.500
```

Results
- Crystal system: orthorhombic
- Symmetry: Cmmm
- Magnetic moment: 0.0 μB/cell
- Formation energy: 885 meV per atom



No. 24
First-principles (PBE) data for Tl2MoP after structural relaxation, as listed in Alexandria via LeMat-Bulk.

Cell and atoms, written as POSCAR:
```
Tl2MoP
1.0
3.193 0.000 0.000
0.000 3.193 0.000
0.000 0.000 8.785
Tl Mo P
2 1 1
Direct
0.000 0.000 0.000
0.500 0.500 0.356
0.000 0.000 0.618
0.500 0.500 0.729
```

Results
- Crystal system: tetragonal
- Symmetry: P4mm
- Magnetic moment: 0.0 μB/cell
- Formation energy: 74 meV per atom



No. 25
First-principles (PBE) data for Tl3MoP after structural relaxation, as listed in Alexandria via LeMat-Bulk.

Cell and atoms, written as POSCAR:
```
Tl3MoP
1.0
5.305 0.000 0.000
0.000 5.305 0.000
0.000 0.000 5.305
Tl Mo P
3 1 1
Direct
0.000 0.000 0.500
0.000 0.500 0.000
0.500 0.000 0.000
0.500 0.500 0.500
0.000 0.000 0.000
```

Results
- Crystal system: cubic
- Symmetry: Pm-3m
- Magnetic moment: 4.6 μB/cell
- Formation energy: 1180 meV per atom



No. 26
First-principles (PBE) data for TlMo2P after structural relaxation, as listed in Alexandria via LeMat-Bulk.

Cell and atoms, written as POSCAR:
```
TlMo2P
1.0
2.887 -4.310 0.000
2.887 4.310 0.000
-1.182 0.000 2.771
Tl Mo P
1 2 1
Direct
0.000 0.000 0.000
0.000 0.500 0.500
0.500 0.000 0.500
0.500 0.500 0.000
```

Results
- Crystal system: monoclinic
- Symmetry: C2/m
- Magnetic moment: 0.0 μB/cell
- Formation energy: 717 meV per atom



No. 27
First-principles (PBE) data for Tl2MoP after structural relaxation, as listed in Alexandria via LeMat-Bulk.

Cell and atoms, written as POSCAR:
```
Tl2MoP
1.0
3.797 0.000 0.000
0.000 3.797 0.000
0.000 0.000 5.605
Tl Mo P
2 1 1
Direct
0.000 0.000 0.250
0.000 0.000 0.750
0.500 0.500 0.000
0.500 0.500 0.500
```

Results
- Crystal system: tetragonal
- Symmetry: P4/mmm
- Magnetic moment: 0.0 μB/cell
- Formation energy: 830 meV per atom



No. 28
First-principles (PBE) data for Tl2MoP after structural relaxation, as listed in Alexandria via LeMat-Bulk.

Cell and atoms, written as POSCAR:
```
Tl2MoP
1.0
1.544 0.891 10.121
-1.544 0.891 10.121
0.000 -1.782 10.121
Tl Mo P
2 1 1
Direct
0.248 0.248 0.248
0.752 0.752 0.752
0.500 0.500 0.500
0.000 0.000 0.000
```

Results
- Crystal system: trigonal
- Symmetry: R-3m
- Magnetic moment: 0.0 μB/cell
- Formation energy: 903 meV per atom